DFT (GGA-PBE) results for Y2TcTe2 after structural relaxation.

Cell: 8.1753 8.1753 4.0951 Å, 90.00 90.00 90.00°
With the nearest neighbours (Å) after each atom.
Positions (direct):
Y (0.3467, 0.8467, 0.0000)  6 Te 3.04-3.23, 2 Tc 3.10
Y (0.8467, 0.6533, 0.0000)  6 Te 3.04-3.23, 2 Tc 3.10
Y (0.6533, 0.1533, 0.0000)  6 Te 3.04-3.23, 2 Tc 3.10
Y (0.1533, 0.3467, 0.0000)  6 Te 3.04-3.23, 2 Tc 3.10
Te (0.1521, 0.6521, 0.5000)  6 Y 3.04-3.23
Te (0.6521, 0.8479, 0.5000)  6 Y 3.04-3.23
Te (0.8479, 0.3479, 0.5000)  6 Y 3.04-3.23
Te (0.3479, 0.1521, 0.5000)  6 Y 3.04-3.23
Tc (0.0000, 0.0000, 0.0000)  4 Y 3.10
Tc (0.5000, 0.5000, 0.0000)  4 Y 3.10

Output
- Energy above the lowest structure with this stoichiometry: 0.000 eV per atom
- V: 27.37 A^3/atom

***

DFT (GGA-PBE) results for Y4TcTe after structural relaxation.

Cell: 4.1541 8.0765 19.4379 Å, 90.00 90.00 90.00°
With the nearest neighbours (Å) after each atom.
Positions (direct):
Y (0.7500, 0.8780, 0.6425)  2 Tc 2.85
Y (0.2500, 0.1220, 0.3575)  2 Tc 2.85
Y (0.2500, 0.6220, 0.1425)  2 Tc 2.85
Y (0.7500, 0.3780, 0.8575)  2 Tc 2.85
Y (0.7500, 0.8557, 0.4567)  3 Tc 2.98-3.20
Y (0.2500, 0.1443, 0.5433)  3 Tc 2.98-3.20
Y (0.2500, 0.6443, 0.9567)  3 Tc 2.98-3.20
Y (0.7500, 0.3557, 0.0433)  3 Tc 2.98-3.20
Y (0.7500, 0.0017, 0.9335)  3 Tc 2.89-3.15, 1 Te 3.17
Y (0.2500, 0.9983, 0.0665)  3 Tc 2.89-3.15, 1 Te 3.17
Y (0.2500, 0.4983, 0.4335)  3 Tc 2.89-3.15, 1 Te 3.17
Y (0.7500, 0.5017, 0.5665)  3 Tc 2.89-3.15, 1 Te 3.17
Y (0.7500, 0.9378, 0.2115)  4 Te 3.19-3.23, 1 Tc 3.35, 4 Y 3.53-3.55
Y (0.2500, 0.0622, 0.7885)  4 Te 3.19-3.23, 1 Tc 3.35, 4 Y 3.53-3.55
Y (0.2500, 0.5622, 0.7115)  4 Te 3.19-3.23, 1 Tc 3.35, 4 Y 3.53-3.55
Y (0.7500, 0.4378, 0.2885)  4 Te 3.19-3.23, 1 Tc 3.35, 4 Y 3.53-3.55
Tc (0.7500, 0.2505, 0.4422)  7 Y 2.85-3.15
Tc (0.2500, 0.7495, 0.5578)  7 Y 2.85-3.15
Tc (0.2500, 0.2495, 0.9422)  7 Y 2.85-3.15
Tc (0.7500, 0.7505, 0.0578)  7 Y 2.85-3.15
Te (0.7500, 0.7584, 0.8053)  7 Y 3.17-3.31
Te (0.2500, 0.2416, 0.1947)  7 Y 3.17-3.31
Te (0.2500, 0.7416, 0.3053)  7 Y 3.17-3.31
Te (0.7500, 0.2584, 0.6947)  7 Y 3.17-3.31

Output
- Energy above the lowest structure with this stoichiometry: 0.000 eV per atom
- V: 27.17 A^3/atom

***

DFT (GGA-PBE) results for Y2TcTe after structural relaxation.

Cell: 6.4724 6.4724 8.1097 Å, 66.48 66.48 90.00°
With the nearest neighbours (Å) after each atom.
Positions (direct):
Y (0.5666, 0.1250, 0.2500)  2 Tc 2.64
Y (0.1834, 0.6250, 0.2500)  2 Tc 2.64
Y (0.3750, 0.4334, 0.7500)  2 Tc 2.64
Y (0.8750, 0.8166, 0.7500)  2 Tc 2.64
Te (0.0000, 0.0000, 0.0000)  4 Y 3.07
Te (0.7500, 0.2500, 0.5000)  4 Y 3.07
Tc (0.5000, 0.5000, 0.0000)  4 Y 2.64
Tc (0.2500, 0.7500, 0.5000)  4 Y 2.64

Output
- V: 35.06 A^3/atom

***

DFT (GGA-PBE) results for YTc2Te after structural relaxation.

Cell: 5.9205 5.9205 5.9205 Å, 42.96 42.96 42.96°
With the nearest neighbours (Å) after each atom.
Positions (direct):
Tc (0.9537, 0.9537, 0.9537)  3 Tc 2.51
Tc (0.2757, 0.2757, 0.2757)  3 Tc 2.51
Te (0.5292, 0.5292, 0.5292)  6 Tc 2.81-2.90
Y (0.7414, 0.7414, 0.7414)  7 Tc 3.17-3.42, 4 Te 3.17-3.41

Output
- V: 21.84 A^3/atom

***

DFT (GGA-PBE) results for Y2TcTe after structural relaxation.

Cell: 4.4726 3.9648 5.8519 Å, 70.29 90.00 90.00°
With the nearest neighbours (Å) after each atom.
Positions (direct):
Tc (0.0000, 0.7018, 0.4639)  2 Te 2.81, 5 Y 2.99-3.07
Te (0.5000, 0.5529, 0.7732)  2 Tc 2.81, 7 Y 3.09-3.13
Y (0.0000, 0.9799, 0.9206)  3 Tc 2.99-3.22, 4 Te 3.10
Y (0.5000, 0.2655, 0.3423)  4 Tc 3.05-3.07, 3 Te 3.09-3.13

Output
- V: 24.42 A^3/atom

***

DFT (GGA-PBE) results for YTc2Te after structural relaxation.

Cell: 7.6869 7.6869 6.1929 Å, 51.64 51.64 90.00°
With the nearest neighbours (Å) after each atom.
Positions (direct):
Y (0.5000, 0.5000, 0.0000)  2 Te 2.97, 8 Tc 3.15-3.28
Y (0.2500, 0.7500, 0.5000)  2 Te 2.97, 8 Tc 3.15-3.28
Te (0.0000, 0.0000, 0.0000)  4 Tc 2.53
Te (0.7500, 0.2500, 0.5000)  4 Tc 2.53
Tc (0.6848, 0.1250, 0.2500)  2 Te 2.53
Tc (0.0652, 0.6250, 0.2500)  2 Te 2.53
Tc (0.3750, 0.3152, 0.7500)  2 Te 2.53
Tc (0.8750, 0.9348, 0.7500)  2 Te 2.53

Output
- V: 21.92 A^3/atom

***

Computed formation energy without anion corrections, in the same sequence as the records: -0.252, -0.516, 0.309, -0.160, -0.486, 0.597 eV per atom.